A plane-wave DFT calculation with PBE was carried out for a relaxed BeFe3As crystal.

```
5
Lattice="3.8343 0.0000 0.0000 0.0000 3.8343 0.0000 0.0000 0.0000 3.8343" Properties=species:S:1:pos:R:3 pbc="T T T"
Be 0.0000 0.0000 0.0000
Fe 0.0000 0.0000 1.9172
Fe 0.0000 1.9172 0.0000
Fe 1.9172 0.0000 0.0000
As 1.9172 1.9172 1.9172
```

## Properties
Its magnetic moment is 0.0 Bohr magnetons per cell. The value obtained for the calculated total energy is -30.576 eV per formula unit. The excess energy over the best structure of this formula in the dataset comes out at 0.0000 eV per atom. The crystal system is cubic.